[1]
# BiBC3

A geometry-optimized BiBC3 structure (PBE-GGA, Alexandria).

Unit cell a=3.742 b=3.742 c=3.742 alpha=90.00 beta=90.00 gamma=90.00
Sites, in units of the cell vectors:
C (0.000, 0.500, 0.000)
C (0.000, 0.000, 0.500)
C (0.500, 0.000, 0.000)
B (0.000, 0.000, 0.000)
Bi (0.500, 0.500, 0.500)

Calculated values
raw total energy: -25.8 eV/cell
energy relative to the elements: 2.476 eV/atom
D(E_F): 0.610 states/eV/atom
magnetic moment: 0.00 μB/f.u.


[2]
# Cs2LiPuCl6

A geometry-optimized Cs2LiPuCl6 structure (PBE-GGA, Alexandria).

Unit cell a=6.669 b=7.571 c=7.571 alpha=120.00 beta=90.00 gamma=90.00
Site moments in Bohr magnetons follow the coordinates.
Sites, in units of the cell vectors:
Cs (0.206, 0.333, 0.667)  0.00
Cs (0.794, 0.667, 0.333)  0.00
Li (0.000, 0.000, 0.000)  0.00
Pu (0.500, 0.000, 0.000)  5.02
Cl (0.760, 0.159, 0.318)  -0.02
Cl (0.760, 0.159, 0.841)  -0.02
Cl (0.760, 0.682, 0.841)  -0.02
Cl (0.240, 0.841, 0.159)  -0.02
Cl (0.240, 0.318, 0.159)  -0.02
Cl (0.240, 0.841, 0.682)  -0.02

Calculated values
formation energy (no corrections): -19.547 eV/f.u.
raw total energy: -48.6 eV/cell
D(E_F): 0.784 states/eV/atom
magnetic moment: 5.00 μB/f.u.


[3]
# Pm3Ag8Pb

A geometry-optimized Pm3Ag8Pb structure (PBE-GGA, Alexandria).

Unit cell a=5.734 b=5.734 c=9.995 alpha=73.33 beta=73.33 gamma=60.00
Sites, in units of the cell vectors:
Pm (0.378, 0.378, 0.866)
Pm (0.995, 0.995, 0.015)
Pm (0.503, 0.503, 0.492)
Ag (0.943, 0.438, 0.182)
Ag (0.434, 0.937, 0.691)
Ag (0.438, 0.438, 0.182)
Ag (0.937, 0.937, 0.691)
Ag (0.188, 0.188, 0.437)
Ag (0.688, 0.688, 0.937)
Ag (0.438, 0.943, 0.182)
Ag (0.937, 0.434, 0.691)
Pb (0.872, 0.872, 0.384)

Calculated values
raw total energy: -43.0 eV/cell
energy relative to the elements: -0.183 eV/atom
D(E_F): 0.613 states/eV/atom
magnetic moment: 0.00 μB/f.u.


[4]
# K2HgI2Cl2

A geometry-optimized K2HgI2Cl2 structure (PBE-GGA, Alexandria).

Unit cell a=4.572 b=8.365 c=8.222 alpha=60.35 beta=73.90 gamma=90.03
Sites, in units of the cell vectors:
K (0.164, 0.708, 0.674)
K (0.836, 0.292, 0.326)
Hg (0.000, 0.000, 0.000)
I (0.538, 0.292, 0.929)
I (0.462, 0.708, 0.071)
Cl (0.185, 0.109, 0.629)
Cl (0.815, 0.891, 0.371)

Calculated values
formation energy (no corrections): -7.981 eV/f.u.
raw total energy: -17.3 eV/cell
magnetic moment: 0.00 μB/f.u.


> Which formula does entry 3 have?

Pm3Ag8Pb